Computed, not measured: a relaxed structure of Ba2CuTc at the PBE level of DFT.

Cell: 8.239 3.630 8.746 Å, 90.00 99.05 90.00°
Sites, in units of the cell vectors:
Ba1 0.249 0.000 0.255
Ba2 0.251 0.500 0.745
Ba3 0.749 0.500 0.255
Ba4 0.751 0.000 0.745
Cu1 0.000 0.500 0.000
Cu2 0.500 0.000 0.000
Tc1 0.000 0.000 0.500
Tc2 0.500 0.500 0.500

Output
Fermi-level density of states	7.976	states/eV/cell
space group	C2/m
total moment	4.0	μB/cell
energy of formation from the pure elements	0.885	eV per atom
crystal system	monoclinic

***

Computed, not measured: a relaxed structure of LaTbInAg at the PBE level of DFT.

Cell: 7.646 7.646 7.646 Å, 90.00 90.00 90.00°
Sites, in units of the cell vectors:
La1 0.000 0.000 0.000
La2 0.000 0.500 0.500
La3 0.500 0.000 0.500
La4 0.500 0.500 0.000
Tb1 0.000 0.000 0.500
Tb2 0.000 0.500 0.000
Tb3 0.500 0.000 0.000
Tb4 0.500 0.500 0.500
In1 0.250 0.250 0.750
In2 0.250 0.750 0.250
In3 0.750 0.250 0.250
In4 0.750 0.750 0.750
Ag1 0.250 0.250 0.250
Ag2 0.250 0.750 0.750
Ag3 0.750 0.250 0.750
Ag4 0.750 0.750 0.250

Output
Fermi-level density of states	15.324	states/eV/cell
space group	F-43m
total moment	0.8	μB/cell
energy of formation from the pure elements	-0.373	eV per atom
crystal system	cubic